Record 1
# AsIr2W (PBE, relaxed)
# VASP energy	-69.82	eV for the cell shown
# energy of formation from the pure elements	0.1041	eV per atom
# size of the total moment	0.0	μB per cell
# V	15.316	Å³/atom
# DOS at the Fermi energy	6.9	states/eV per cell
data_AsIr2W
_cell_length_a 9.359
_cell_length_b 2.826
_cell_length_c 4.639
_cell_angle_alpha 90.00
_cell_angle_beta 93.24
_cell_angle_gamma 90.00
_symmetry_space_group_name_H-M 'C 1 2/m 1'
_symmetry_Int_Tables_number 12
loop_
_symmetry_equiv_pos_as_xyz
'x,y,z'
'-x,-y,-z'
'-x,y,-z'
'x,-y,z'
'x+1/2,y+1/2,z'
'-x+1/2,-y+1/2,-z'
'-x+1/2,y+1/2,-z'
'x+1/2,-y+1/2,z'
loop_
_atom_site_label
_atom_site_fract_x
_atom_site_fract_y
_atom_site_fract_z
As1 0.000 0.000 0.000
Ir1 0.233 0.000 0.741
W1 0.000 0.500 0.500

=====

Record 2
# PmMg5Pt2 (PBE, relaxed)
# VASP energy	-59.61	eV for the cell shown
# energy of formation from the pure elements	-0.6252	eV per atom
# size of the total moment	0.0	μB per cell
# V	21.572	Å³/atom
# DOS at the Fermi energy	7.6	states/eV per cell
data_PmMg5Pt2
_cell_length_a 4.175
_cell_length_b 8.279
_cell_length_c 9.986
_cell_angle_alpha 90.00
_cell_angle_beta 90.00
_cell_angle_gamma 90.00
_symmetry_space_group_name_H-M 'I m m m'
_symmetry_Int_Tables_number 71
_symmetry_space_group_name_Hall '-I 2 2'
loop_
_atom_site_label
_atom_site_fract_x
_atom_site_fract_y
_atom_site_fract_z
Pm1 0.000 0.000 0.000
Mg1 0.000 0.183 0.337
Mg2 0.000 0.500 0.000
Pt1 0.000 0.500 0.271

=====

Record 3
# Tb2GeBi (PBE, relaxed)
# VASP energy	-83.79	eV for the cell shown
# energy of formation from the pure elements	-0.7971	eV per atom
# size of the total moment	0.0	μB per cell
# V	27.548	Å³/atom
# DOS at the Fermi energy	6.6	states/eV per cell
data_Tb2GeBi
_cell_length_a 4.434
_cell_length_b 23.504
_cell_length_c 4.230
_cell_angle_alpha 90.00
_cell_angle_beta 90.00
_cell_angle_gamma 90.00
_symmetry_space_group_name_H-M 'C m c m'
_symmetry_Int_Tables_number 63
_symmetry_space_group_name_Hall '-C 2c 2'
loop_
_atom_site_label
_atom_site_fract_x
_atom_site_fract_y
_atom_site_fract_z
Tb1 0.000 0.060 0.250
Tb2 0.000 0.328 0.250
Ge1 0.000 0.458 0.250
Bi1 0.000 0.191 0.250

=====

Record 4
# SmEuHf2O6 (PBE, relaxed)
# VASP energy	-193.66	eV for the cell shown
# size of the total moment	14.4	μB per cell
# V	13.517	Å³/atom
# ΔE_f (raw)	-310.5	kJ per mole of atoms
# DOS at the Fermi energy	4.3	states/eV per cell
data_SmEuHf2O6
_cell_length_a 7.955
_cell_length_b 8.083
_cell_length_c 4.204
_cell_angle_alpha 90.00
_cell_angle_beta 90.00
_cell_angle_gamma 90.00
_symmetry_space_group_name_H-M 'C m m m'
_symmetry_Int_Tables_number 65
_symmetry_space_group_name_Hall '-C 2 2'
loop_
_atom_site_label
_atom_site_fract_x
_atom_site_fract_y
_atom_site_fract_z
Sm1 0.000 0.000 0.000
Eu1 0.000 0.500 0.000
Hf1 0.250 0.250 0.500
O1 0.000 0.320 0.500
O2 0.175 0.000 0.500
O3 0.250 0.250 0.000

=====

Record 5
# UMoC (PBE, relaxed)
# VASP energy	-125.50	eV for the cell shown
# energy of formation from the pure elements	-0.0110	eV per atom
# size of the total moment	0.0	μB per cell
# V	14.582	Å³/atom
# DOS at the Fermi energy	16.9	states/eV per cell
data_UMoC
_cell_length_a 9.518
_cell_length_b 3.146
_cell_length_c 6.564
_cell_angle_alpha 90.00
_cell_angle_beta 117.09
_cell_angle_gamma 90.00
_symmetry_space_group_name_H-M 'C 1 2/m 1'
_symmetry_Int_Tables_number 12
loop_
_symmetry_equiv_pos_as_xyz
'x,y,z'
'-x,-y,-z'
'-x,y,-z'
'x,-y,z'
'x+1/2,y+1/2,z'
'-x+1/2,-y+1/2,-z'
'-x+1/2,y+1/2,-z'
'x+1/2,-y+1/2,z'
loop_
_atom_site_label
_atom_site_fract_x
_atom_site_fract_y
_atom_site_fract_z
U1 0.067 0.000 0.371
Mo1 0.173 0.500 0.077
C1 0.180 0.500 0.718

=====

Record 6
# HoThCd17 (PBE, relaxed)
# VASP energy	-87.18	eV for the cell shown
# energy of formation from the pure elements	-0.0792	eV per atom
# size of the total moment	0.0	μB per cell
# V	23.120	Å³/atom
# DOS at the Fermi energy	15.9	states/eV per cell
data_HoThCd17
_cell_length_a 10.0881
_cell_length_b 10.0881
_cell_length_c 14.9526
_cell_angle_alpha 90.00
_cell_angle_beta 90.00
_cell_angle_gamma 120.00
_symmetry_space_group_name_H-M 'R 3 m'
_symmetry_Int_Tables_number 160
_symmetry_space_group_name_Hall 'R 3 -2"'
loop_
_atom_site_label
_atom_site_fract_x
_atom_site_fract_y
_atom_site_fract_z
Ho1 0.0000 0.0000 0.0000
Th1 0.0000 0.0000 0.6611
Cd1 0.0000 0.0000 0.2391
Cd2 0.0000 0.0000 0.4337
Cd3 0.0003 0.3058 0.3319
Cd4 0.0218 0.5109 0.1844
Cd5 0.0322 0.5161 0.8262
Cd6 0.0575 0.5288 0.4875

=====

Question: Which formula does entry 4 have?
Answer: SmEuHf2O6